DFT (PBE) results for an optimized crystal structure of Sr2LaSc.

Formation energy from the elements (eV/atom): 0.265
Energy above the lowest structure with this stoichiometry (eV/atom): 0.135
E (eV per atom): -3.390

a b c (Å): 4.142 6.071 12.579
angles (deg): 90.00 90.00 90.00
Space group Immm (No. 71)
Inequivalent atoms, fractional coordinates:
Sr 0.000 0.000 0.228 [4 per cell]
La 0.000 0.500 0.000 [2 per cell]
Sc 0.000 0.500 0.500 [2 per cell]



DFT (PBE) results for an optimized crystal structure of Tb2Pm4Th.

Formation energy from the elements (eV/atom): 0.034
Energy above the lowest structure with this stoichiometry (eV/atom): 0.000
E (eV per atom): -5.064

a b c (Å): 6.278 3.624 20.614
angles (deg): 90.00 90.00 90.00
Space group Cm (No. 8)
Inequivalent atoms, fractional coordinates:
Tb 0.000 0.000 0.000 [2 per cell]
Tb 0.000 0.000 0.284 [2 per cell]
Pm 0.167 0.500 0.570 [2 per cell]
Pm 0.167 0.500 0.856 [2 per cell]
Pm 0.333 0.000 0.142 [2 per cell]
Pm 0.334 0.000 0.425 [2 per cell]
Th 0.001 0.000 0.714 [2 per cell]